Record 1
A geometry-optimized GaIr6Rh2 structure. Source: Alexandria, functional PBE.

Properties
**Spin magnetization**: 0.0 Bohr magnetons per cell
**E_form**: -70 meV per atom
**D(E_F)**: 18.887 states/eV per cell

```
data_GaIr6Rh2
_chemical_formula_sum 'Ga2 Ir12 Rh4'
_cell_length_a 9.878
_cell_length_b 9.058
_cell_length_c 7.739
_cell_angle_alpha 50.17
_cell_angle_beta 38.27
_cell_angle_gamma 37.45
_space_group_name_H-M_alt 'P 1'
_space_group_IT_number 1
loop_
_space_group_symop_operation_xyz
'x,y,z'
loop_
_atom_site_label
_atom_site_type_symbol
_atom_site_fract_x
_atom_site_fract_y
_atom_site_fract_z
Ga1 Ga 0.053 0.281 0.860
Ga2 Ga 0.947 0.719 0.140
Ir1 Ir 0.393 0.944 0.026
Ir2 Ir 0.282 0.389 0.800
Ir3 Ir 0.607 0.056 0.974
Ir4 Ir 0.171 0.831 0.081
Ir5 Ir 0.718 0.611 0.200
Ir6 Ir 0.943 0.722 0.643
Ir7 Ir 0.505 0.501 0.745
Ir8 Ir 0.622 0.048 0.468
Ir9 Ir 0.495 0.499 0.255
Ir10 Ir 0.057 0.278 0.357
Ir11 Ir 0.378 0.952 0.532
Ir12 Ir 0.829 0.169 0.919
Rh1 Rh 0.163 0.833 0.590
Rh2 Rh 0.837 0.167 0.410
Rh3 Rh 0.717 0.613 0.695
Rh4 Rh 0.283 0.387 0.305
```

Record 2
A geometry-optimized Ga2IrRhS structure. Source: Alexandria, functional PBE.

Properties
**Spin magnetization**: 0.6 Bohr magnetons per cell
**D(E_F)**: 5.481 states/eV per cell
**ΔE_f (raw)**: 594 meV/atom

```
data_Ga2IrRhS
_chemical_formula_sum 'Ga2 Ir1 Rh1 S1'
_cell_length_a 4.815
_cell_length_b 4.489
_cell_length_c 4.815
_cell_angle_alpha 90.00
_cell_angle_beta 90.00
_cell_angle_gamma 90.00
_space_group_name_H-M_alt 'P 1'
_space_group_IT_number 1
loop_
_space_group_symop_operation_xyz
'x,y,z'
loop_
_atom_site_label
_atom_site_type_symbol
_atom_site_fract_x
_atom_site_fract_y
_atom_site_fract_z
Ir1 Ir 0.000 0.000 0.000
Ga1 Ga 0.000 0.000 0.500
Ga2 Ga 0.500 0.000 0.000
Rh1 Rh 0.500 0.500 0.500
S1 S 0.000 0.500 0.000
```

Record 3
A geometry-optimized Sc5Ga2Ir2Rh structure. Source: Alexandria, functional PBE.

Properties
**Spin magnetization**: 0.0 Bohr magnetons per cell
**E_form**: -642 meV per atom
**D(E_F)**: 10.110 states/eV per cell

```
data_Sc5Ga2Ir2Rh
_chemical_formula_sum 'Sc10 Ga4 Ir4 Rh2'
_cell_length_a 3.324
_cell_length_b 10.899
_cell_length_c 10.899
_cell_angle_alpha 90.00
_cell_angle_beta 90.00
_cell_angle_gamma 90.00
_space_group_name_H-M_alt 'P 1'
_space_group_IT_number 1
loop_
_space_group_symop_operation_xyz
'x,y,z'
loop_
_atom_site_label
_atom_site_type_symbol
_atom_site_fract_x
_atom_site_fract_y
_atom_site_fract_z
Sc1 Sc 0.500 0.309 0.576
Sc2 Sc 0.500 0.691 0.424
Sc3 Sc 0.500 0.500 0.000
Sc4 Sc 0.500 0.076 0.809
Sc5 Sc 0.500 0.576 0.691
Sc6 Sc 0.500 0.809 0.924
Sc7 Sc 0.500 0.000 0.500
Sc8 Sc 0.500 0.191 0.076
Sc9 Sc 0.500 0.424 0.309
Sc10 Sc 0.500 0.924 0.191
Ir1 Ir 0.000 0.138 0.638
Ir2 Ir 0.000 0.638 0.862
Ir3 Ir 0.000 0.862 0.362
Ir4 Ir 0.000 0.362 0.138
Rh1 Rh 0.000 0.000 0.000
Rh2 Rh 0.000 0.500 0.500
Ga1 Ga 0.000 0.174 0.326
Ga2 Ga 0.000 0.674 0.174
Ga3 Ga 0.000 0.826 0.674
Ga4 Ga 0.000 0.326 0.826
```

Record 4
A geometry-optimized SmGa3IrRh structure. Source: Alexandria, functional PBE.

Properties
**Spin magnetization**: 0.0 Bohr magnetons per cell
**E_form**: -505 meV per atom
**D(E_F)**: 4.554 states/eV per cell

```
data_SmGa3IrRh
_chemical_formula_sum 'Sm2 Ga6 Ir2 Rh2'
_cell_length_a 5.618
_cell_length_b 7.869
_cell_length_c 6.693
_cell_angle_alpha 126.01
_cell_angle_beta 90.00
_cell_angle_gamma 90.00
_space_group_name_H-M_alt 'P 1'
_space_group_IT_number 1
loop_
_space_group_symop_operation_xyz
'x,y,z'
loop_
_atom_site_label
_atom_site_type_symbol
_atom_site_fract_x
_atom_site_fract_y
_atom_site_fract_z
Rh1 Rh 0.750 0.454 0.909
Rh2 Rh 0.250 0.546 0.091
Ir1 Ir 0.750 0.908 0.816
Ir2 Ir 0.250 0.092 0.184
Ga1 Ga 0.750 0.681 0.362
Ga2 Ga 0.500 0.760 0.000
Ga3 Ga 0.250 0.319 0.638
Ga4 Ga 0.000 0.760 0.000
Ga5 Ga 0.500 0.240 0.000
Ga6 Ga 0.000 0.240 0.000
Sm1 Sm 0.250 0.795 0.589
Sm2 Sm 0.750 0.205 0.411
```

Record 5
A geometry-optimized Sm2Ga4IrRh3 structure. Source: Alexandria, functional PBE.

Properties
**Spin magnetization**: 0.0 Bohr magnetons per cell
**E_form**: -782 meV per atom
**D(E_F)**: 7.250 states/eV per cell

```
data_Sm2Ga4IrRh3
_chemical_formula_sum 'Sm2 Ga4 Ir1 Rh3'
_cell_length_a 4.306
_cell_length_b 4.306
_cell_length_c 10.018
_cell_angle_alpha 90.00
_cell_angle_beta 90.00
_cell_angle_gamma 90.00
_space_group_name_H-M_alt 'P 1'
_space_group_IT_number 1
loop_
_space_group_symop_operation_xyz
'x,y,z'
loop_
_atom_site_label
_atom_site_type_symbol
_atom_site_fract_x
_atom_site_fract_y
_atom_site_fract_z
Rh1 Rh 0.500 0.000 0.873
Rh2 Rh 0.000 0.000 0.500
Rh3 Rh 0.000 0.500 0.127
Sm1 Sm 0.500 0.000 0.264
Sm2 Sm 0.000 0.500 0.736
Ga1 Ga 0.500 0.500 0.000
Ga2 Ga 0.000 0.000 0.000
Ga3 Ga 0.500 0.000 0.628
Ga4 Ga 0.000 0.500 0.372
Ir1 Ir 0.500 0.500 0.500
```

Record 6
A geometry-optimized SmGa4IrRh2 structure. Source: Alexandria, functional PBE.

Properties
**Spin magnetization**: 0.0 Bohr magnetons per cell
**E_form**: -647 meV per atom
**D(E_F)**: 2.061 states/eV per cell

```
data_SmGa4IrRh2
_chemical_formula_sum 'Sm1 Ga4 Ir1 Rh2'
_cell_length_a 4.249
_cell_length_b 4.249
_cell_length_c 9.067
_cell_angle_alpha 76.45
_cell_angle_beta 76.45
_cell_angle_gamma 60.00
_space_group_name_H-M_alt 'P 1'
_space_group_IT_number 1
loop_
_space_group_symop_operation_xyz
'x,y,z'
loop_
_atom_site_label
_atom_site_type_symbol
_atom_site_fract_x
_atom_site_fract_y
_atom_site_fract_z
Ir1 Ir 0.500 0.500 0.500
Rh1 Rh 0.765 0.765 0.705
Rh2 Rh 0.235 0.235 0.295
Ga1 Ga 0.132 0.132 0.605
Ga2 Ga 0.400 0.400 0.800
Ga3 Ga 0.600 0.600 0.200
Ga4 Ga 0.868 0.868 0.395
Sm1 Sm 0.000 0.000 0.000
```

Record 7
A geometry-optimized SmGa2IrRh structure. Source: Alexandria, functional PBE.

Properties
**Spin magnetization**: 0.0 Bohr magnetons per cell
**E_form**: -761 meV per atom
**D(E_F)**: 2.154 states/eV per cell

```
data_SmGa2IrRh
_chemical_formula_sum 'Sm1 Ga2 Ir1 Rh1'
_cell_length_a 4.275
_cell_length_b 4.275
_cell_length_c 5.877
_cell_angle_alpha 111.33
_cell_angle_beta 111.33
_cell_angle_gamma 90.00
_space_group_name_H-M_alt 'P 1'
_space_group_IT_number 1
loop_
_space_group_symop_operation_xyz
'x,y,z'
loop_
_atom_site_label
_atom_site_type_symbol
_atom_site_fract_x
_atom_site_fract_y
_atom_site_fract_z
Sm1 Sm 0.000 0.000 0.000
Rh1 Rh 0.750 0.250 0.500
Ir1 Ir 0.250 0.750 0.500
Ga1 Ga 0.626 0.626 0.251
Ga2 Ga 0.374 0.374 0.749
```

Record 8
A geometry-optimized SmGaIrRh structure. Source: Alexandria, functional PBE.

Properties
**Spin magnetization**: 0.0 Bohr magnetons per cell
**E_form**: -558 meV per atom
**D(E_F)**: 1.172 states/eV per cell

```
data_SmGaIrRh
_chemical_formula_sum 'Sm1 Ga1 Ir1 Rh1'
_cell_length_a 4.646
_cell_length_b 4.646
_cell_length_c 4.646
_cell_angle_alpha 60.00
_cell_angle_beta 60.00
_cell_angle_gamma 60.00
_space_group_name_H-M_alt 'P 1'
_space_group_IT_number 1
loop_
_space_group_symop_operation_xyz
'x,y,z'
loop_
_atom_site_label
_atom_site_type_symbol
_atom_site_fract_x
_atom_site_fract_y
_atom_site_fract_z
Ir1 Ir 0.250 0.250 0.250
Rh1 Rh 0.750 0.750 0.750
Sm1 Sm 0.500 0.500 0.500
Ga1 Ga 0.000 0.000 0.000
```

Record 9
A geometry-optimized Sm2GaIr2Rh5 structure. Source: Alexandria, functional PBE.

Properties
**Spin magnetization**: 0.0 Bohr magnetons per cell
**E_form**: -373 meV per atom
**D(E_F)**: 26.582 states/eV per cell

```
data_Sm2GaIr2Rh5
_chemical_formula_sum 'Sm4 Ga2 Ir4 Rh10'
_cell_length_a 3.918
_cell_length_b 9.515
_cell_length_c 9.515
_cell_angle_alpha 90.00
_cell_angle_beta 90.00
_cell_angle_gamma 90.00
_space_group_name_H-M_alt 'P 1'
_space_group_IT_number 1
loop_
_space_group_symop_operation_xyz
'x,y,z'
loop_
_atom_site_label
_atom_site_type_symbol
_atom_site_fract_x
_atom_site_fract_y
_atom_site_fract_z
Ga1 Ga 0.000 0.000 0.000
Ga2 Ga 0.000 0.500 0.500
Rh1 Rh 0.500 0.064 0.806
Rh2 Rh 0.500 0.806 0.936
Rh3 Rh 0.500 0.436 0.306
Rh4 Rh 0.500 0.694 0.436
Rh5 Rh 0.500 0.936 0.194
Rh6 Rh 0.500 0.500 0.000
Rh7 Rh 0.500 0.564 0.694
Rh8 Rh 0.500 0.306 0.564
Rh9 Rh 0.500 0.000 0.500
Rh10 Rh 0.500 0.194 0.064
Ir1 Ir 0.000 0.132 0.632
Ir2 Ir 0.000 0.368 0.132
Ir3 Ir 0.000 0.632 0.868
Ir4 Ir 0.000 0.868 0.368
Sm1 Sm 0.000 0.667 0.167
Sm2 Sm 0.000 0.167 0.333
Sm3 Sm 0.000 0.333 0.833
Sm4 Sm 0.000 0.833 0.667
```

Record 10
A geometry-optimized SrGa4Ir2Rh structure. Source: Alexandria, functional PBE.

Properties
**Spin magnetization**: 0.0 Bohr magnetons per cell
**E_form**: -540 meV per atom
**D(E_F)**: 4.101 states/eV per cell

```
data_SrGa4Ir2Rh
_chemical_formula_sum 'Sr1 Ga4 Ir2 Rh1'
_cell_length_a 4.271
_cell_length_b 4.271
_cell_length_c 9.511
_cell_angle_alpha 77.02
_cell_angle_beta 77.02
_cell_angle_gamma 60.00
_space_group_name_H-M_alt 'P 1'
_space_group_IT_number 1
loop_
_space_group_symop_operation_xyz
'x,y,z'
loop_
_atom_site_label
_atom_site_type_symbol
_atom_site_fract_x
_atom_site_fract_y
_atom_site_fract_z
Ir1 Ir 0.768 0.768 0.695
Ir2 Ir 0.232 0.232 0.305
Ga1 Ga 0.867 0.867 0.399
Ga2 Ga 0.133 0.133 0.601
Ga3 Ga 0.407 0.407 0.780
Ga4 Ga 0.593 0.593 0.220
Rh1 Rh 0.500 0.500 0.500
Sr1 Sr 0.000 0.000 0.000
```

Record 11
A geometry-optimized SrGa4IrRh2 structure. Source: Alexandria, functional PBE.

Properties
**Spin magnetization**: 0.0 Bohr magnetons per cell
**E_form**: -563 meV per atom
**D(E_F)**: 3.925 states/eV per cell

```
data_SrGa4IrRh2
_chemical_formula_sum 'Sr1 Ga4 Ir1 Rh2'
_cell_length_a 4.255
_cell_length_b 4.255
_cell_length_c 9.638
_cell_angle_alpha 77.25
_cell_angle_beta 77.25
_cell_angle_gamma 60.00
_space_group_name_H-M_alt 'P 1'
_space_group_IT_number 1
loop_
_space_group_symop_operation_xyz
'x,y,z'
loop_
_atom_site_label
_atom_site_type_symbol
_atom_site_fract_x
_atom_site_fract_y
_atom_site_fract_z
Ga1 Ga 0.867 0.867 0.399
Ga2 Ga 0.407 0.407 0.779
Ga3 Ga 0.133 0.133 0.601
Ga4 Ga 0.593 0.593 0.221
Sr1 Sr 0.000 0.000 0.000
Ir1 Ir 0.500 0.500 0.500
Rh1 Rh 0.770 0.770 0.691
Rh2 Rh 0.230 0.230 0.309
```

Record 12
A geometry-optimized Tb2Ga4IrRh3 structure. Source: Alexandria, functional PBE.

Properties
**Spin magnetization**: 0.0 Bohr magnetons per cell
**E_form**: -782 meV per atom
**D(E_F)**: 6.968 states/eV per cell

```
data_Tb2Ga4IrRh3
_chemical_formula_sum 'Tb2 Ga4 Ir1 Rh3'
_cell_length_a 4.273
_cell_length_b 4.273
_cell_length_c 10.011
_cell_angle_alpha 90.00
_cell_angle_beta 90.00
_cell_angle_gamma 90.00
_space_group_name_H-M_alt 'P 1'
_space_group_IT_number 1
loop_
_space_group_symop_operation_xyz
'x,y,z'
loop_
_atom_site_label
_atom_site_type_symbol
_atom_site_fract_x
_atom_site_fract_y
_atom_site_fract_z
Tb1 Tb 0.500 0.000 0.267
Tb2 Tb 0.000 0.500 0.733
Ga1 Ga 0.000 0.500 0.371
Ga2 Ga 0.500 0.000 0.629
Ga3 Ga 0.500 0.500 0.000
Ga4 Ga 0.000 0.000 0.000
Ir1 Ir 0.500 0.500 0.500
Rh1 Rh 0.500 0.000 0.872
Rh2 Rh 0.000 0.500 0.128
Rh3 Rh 0.000 0.000 0.500
```